Record 1
{"formula": "CoSn2H12O6F6", "functional": "PBE+U", "state": "relaxed", "cell": [[6.785, 0.000, 0.000], [2.324, 6.662, 0.000], [1.354, 1.458, 6.937]], "species": ["Co", "Sn", "Sn", "H", "H", "H", "H", "H", "H", "H", "H", "H", "H", "H", "H", "O", "O", "O", "O", "O", "O", "F", "F", "F", "F", "F", "F"], "frac_coords": [[0.000, 0.000, 0.000], [0.340, 0.316, 0.359], [0.660, 0.684, 0.641], [0.081, 0.804, 0.363], [0.105, 0.750, 0.745], [0.226, 0.633, 0.928], [0.245, 0.249, 0.954], [0.266, 0.900, 0.268], [0.349, 0.087, 0.816], [0.651, 0.913, 0.184], [0.734, 0.100, 0.732], [0.755, 0.751, 0.046], [0.774, 0.367, 0.072], [0.895, 0.250, 0.255], [0.919, 0.196, 0.637], [0.169, 0.835, 0.240], [0.186, 0.768, 0.837], [0.213, 0.162, 0.881], [0.787, 0.838, 0.119], [0.814, 0.232, 0.163], [0.831, 0.165, 0.760], [0.034, 0.280, 0.417], [0.291, 0.402, 0.066], [0.433, 0.010, 0.314], [0.567, 0.990, 0.686], [0.709, 0.598, 0.934], [0.966, 0.720, 0.583]]}



Record 2
{"formula": "CoH2PbF8", "functional": "PBE+U", "state": "relaxed", "cell": [[4.397, 0.000, 0.000], [-1.632, 4.086, 0.000], [-0.191, -0.127, 7.860]], "species": ["Co", "H", "H", "Pb", "F", "F", "F", "F", "F", "F", "F", "F"], "frac_coords": [[0.000, 0.000, 0.000], [0.493, 0.496, 0.803], [0.507, 0.504, 0.197], [0.000, 0.000, 0.500], [0.236, 0.232, 0.198], [0.237, 0.763, 0.000], [0.282, 0.286, 0.795], [0.318, 0.682, 0.497], [0.682, 0.318, 0.503], [0.718, 0.714, 0.205], [0.763, 0.237, 0.000], [0.764, 0.768, 0.802]]}



Record 3
{"formula": "Rb2CoH2F6", "functional": "PBE+U", "state": "relaxed", "cell": [[4.788, -2.946, 0.000], [4.788, 2.946, 0.000], [-3.821, 0.000, 5.507]], "species": ["Rb", "Rb", "Co", "H", "H", "F", "F", "F", "F", "F", "F"], "frac_coords": [[0.236, 0.236, 0.199], [0.764, 0.764, 0.801], [0.000, 0.000, 0.500], [0.385, 0.385, 0.748], [0.615, 0.615, 0.252], [0.220, 0.742, 0.693], [0.258, 0.780, 0.307], [0.300, 0.300, 0.785], [0.700, 0.700, 0.215], [0.742, 0.220, 0.693], [0.780, 0.258, 0.307]]}



| no. | E (eV per cell) | total magnetization (μB/cell) |
| --- | --- | --- |
| 1 | -133.89 | 3.00 |
| 2 | -50.84 | 3.03 |
| 3 | -48.42 | 3.00 |